# AlCr2Ag | Alexandria | SCAN | single point on PBEsol structure
data_AlCr2Ag
_chemical_formula_sum 'Al1 Cr2 Ag1'
_space_group_name_H-M_alt 'P 4/m m m'
_space_group_IT_number 123
_space_group_name_Hall '-P 4 2'
_cell_length_a 3.538
_cell_length_b 3.538
_cell_length_c 4.219
_cell_angle_alpha 90.00
_cell_angle_beta 90.00
_cell_angle_gamma 90.00
loop_
_atom_site_label
_atom_site_fract_x
_atom_site_fract_y
_atom_site_fract_z
Al1 0.000 0.000 0.000
Cr1 0.000 0.500 0.500
Ag1 0.500 0.500 0.000
# Calculated formation energy ... 0.27 eV/atom
# Total magnetic moment ... 0.0 Bohr magnetons per cell


# Na2ZnAu2 | Alexandria | SCAN | single point on PBEsol structure
data_Na2ZnAu2
_chemical_formula_sum 'Na4 Zn2 Au4'
_space_group_name_H-M_alt 'P 4/m b m'
_space_group_IT_number 127
_space_group_name_Hall '-P 4 2ab'
_cell_length_a 6.691
_cell_length_b 6.691
_cell_length_c 4.615
_cell_angle_alpha 90.00
_cell_angle_beta 90.00
_cell_angle_gamma 90.00
loop_
_atom_site_label
_atom_site_fract_x
_atom_site_fract_y
_atom_site_fract_z
Na1 0.166 0.334 0.000
Zn1 0.000 0.000 0.500
Au1 0.144 0.644 0.500
# Calculated formation energy ... -0.33 eV/atom
# Total magnetic moment ... 0.0 Bohr magnetons per cell


# HfMg2B | Alexandria | SCAN | single point on PBEsol structure
data_HfMg2B
_chemical_formula_sum 'Hf4 Mg8 B4'
_space_group_name_H-M_alt 'I -4 2 d'
_space_group_IT_number 122
_space_group_name_Hall 'I -4 2bw'
_cell_length_a 7.608
_cell_length_b 7.608
_cell_length_c 4.913
_cell_angle_alpha 90.00
_cell_angle_beta 90.00
_cell_angle_gamma 90.00
loop_
_atom_site_label
_atom_site_fract_x
_atom_site_fract_y
_atom_site_fract_z
Hf1 0.000 0.000 0.000
Mg1 0.165 0.250 0.625
B1 0.000 0.000 0.500
# Calculated formation energy ... 0.45 eV/atom
# Total magnetic moment ... 0.0 Bohr magnetons per cell


# Be2WBr | Alexandria | SCAN | single point on PBEsol structure
data_Be2WBr
_chemical_formula_sum 'Be4 W2 Br2'
_space_group_name_H-M_alt 'I m m m'
_space_group_IT_number 71
_space_group_name_Hall '-I 2 2'
_cell_length_a 2.906
_cell_length_b 4.466
_cell_length_c 8.271
_cell_angle_alpha 90.00
_cell_angle_beta 90.00
_cell_angle_gamma 90.00
loop_
_atom_site_label
_atom_site_fract_x
_atom_site_fract_y
_atom_site_fract_z
Be1 0.000 0.000 0.246
W1 0.000 0.500 0.000
Br1 0.000 0.500 0.500
# Raw formation energy ... 1.140 eV/atom
# Excess energy over the best structure of this formula in the dataset ... 213 kJ/mol of formula units
# Total magnetic moment ... 0.0 Bohr magnetons per cell


# LiLa2Mg | Alexandria | SCAN | single point on PBEsol structure
data_LiLa2Mg
_chemical_formula_sum 'Li2 La4 Mg2'
_space_group_name_H-M_alt 'C 1 m 1'
_space_group_IT_number 8
_cell_length_a 12.181
_cell_length_b 3.675
_cell_length_c 5.575
_cell_angle_alpha 90.00
_cell_angle_beta 117.22
_cell_angle_gamma 90.00
loop_
_space_group_symop_operation_xyz
'x,y,z'
'x,-y,z'
'x+1/2,y+1/2,z'
'x+1/2,-y+1/2,z'
loop_
_atom_site_label
_atom_site_fract_x
_atom_site_fract_y
_atom_site_fract_z
Li1 0.000 0.000 0.000
La1 0.021 0.500 0.522
La2 0.263 0.500 0.264
Mg1 0.298 0.000 0.799
# Calculated formation energy ... -0.01 eV/atom
# Excess energy over the best structure of this formula in the dataset ... 2 kJ/mol of formula units
# Total magnetic moment ... 0.4 Bohr magnetons per cell


# AlSi2Tc | Alexandria | SCAN | single point on PBEsol structure
data_AlSi2Tc
_chemical_formula_sum 'Al1 Si2 Tc1'
_space_group_name_H-M_alt 'P 4/m m m'
_space_group_IT_number 123
_space_group_name_Hall '-P 4 2'
_cell_length_a 4.152
_cell_length_b 4.152
_cell_length_c 3.126
_cell_angle_alpha 90.00
_cell_angle_beta 90.00
_cell_angle_gamma 90.00
loop_
_atom_site_label
_atom_site_fract_x
_atom_site_fract_y
_atom_site_fract_z
Al1 0.000 0.000 0.000
Si1 0.000 0.500 0.500
Tc1 0.500 0.500 0.000
# Raw formation energy ... 0.029 eV/atom
# Total magnetic moment ... 0.0 Bohr magnetons per cell


# CsZnBiPd2 | Alexandria | SCAN | single point on PBEsol structure
data_CsZnBiPd2
_chemical_formula_sum 'Cs1 Zn1 Bi1 Pd2'
_space_group_name_H-M_alt 'P 4/m m m'
_space_group_IT_number 123
_space_group_name_Hall '-P 4 2'
_cell_length_a 5.023
_cell_length_b 5.023
_cell_length_c 5.123
_cell_angle_alpha 90.00
_cell_angle_beta 90.00
_cell_angle_gamma 90.00
loop_
_atom_site_label
_atom_site_fract_x
_atom_site_fract_y
_atom_site_fract_z
Cs1 0.000 0.000 0.000
Zn1 0.500 0.500 0.500
Bi1 0.500 0.500 0.000
Pd1 0.000 0.500 0.500
# Calculated formation energy ... 0.29 eV/atom
# Total magnetic moment ... 0.0 Bohr magnetons per cell


# MgTc2Ni | Alexandria | SCAN | single point on PBEsol structure
data_MgTc2Ni
_chemical_formula_sum 'Mg1 Tc2 Ni1'
_space_group_name_H-M_alt 'P 4/m m m'
_space_group_IT_number 123
_space_group_name_Hall '-P 4 2'
_cell_length_a 4.560
_cell_length_b 4.560
_cell_length_c 2.596
_cell_angle_alpha 90.00
_cell_angle_beta 90.00
_cell_angle_gamma 90.00
loop_
_atom_site_label
_atom_site_fract_x
_atom_site_fract_y
_atom_site_fract_z
Mg1 0.000 0.000 0.000
Tc1 0.000 0.500 0.500
Ni1 0.500 0.500 0.000
# Calculated formation energy ... 0.41 eV/atom
# Total magnetic moment ... 0.0 Bohr magnetons per cell


# Al2PbO4 | Alexandria | SCAN | single point on PBEsol structure
data_Al2PbO4
_chemical_formula_sum 'Al8 Pb4 O16'
_space_group_name_H-M_alt 'A m a 2'
_space_group_IT_number 40
_cell_length_a 8.458
_cell_length_b 9.201
_cell_length_c 5.095
_cell_angle_alpha 90.00
_cell_angle_beta 90.00
_cell_angle_gamma 90.00
loop_
_space_group_symop_operation_xyz
'x,y,z'
'-x,-y,z'
'-x+1/2,y,z'
'x+1/2,-y,z'
'x,y+1/2,z+1/2'
'-x,-y+1/2,z+1/2'
'-x+1/2,y+1/2,z+1/2'
'x+1/2,-y+1/2,z+1/2'
loop_
_atom_site_label
_atom_site_fract_x
_atom_site_fract_y
_atom_site_fract_z
Al1 0.054 0.172 0.000
Pb1 0.250 0.027 0.535
O1 0.000 0.000 0.883
O2 0.056 0.188 0.345
O3 0.250 0.188 0.880
# Raw formation energy ... -2.724 eV/atom
# Total magnetic moment ... 0.0 Bohr magnetons per cell


# ScReOs2 | Alexandria | SCAN | single point on PBEsol structure
data_ScReOs2
_chemical_formula_sum 'Sc2 Re2 Os4'
_space_group_name_H-M_alt 'I m m 2'
_space_group_IT_number 44
_cell_length_a 3.011
_cell_length_b 4.459
_cell_length_c 8.980
_cell_angle_alpha 90.00
_cell_angle_beta 90.00
_cell_angle_gamma 90.00
loop_
_space_group_symop_operation_xyz
'x,y,z'
'-x,-y,z'
'-x,y,z'
'x,-y,z'
'x+1/2,y+1/2,z+1/2'
'-x+1/2,-y+1/2,z+1/2'
'-x+1/2,y+1/2,z+1/2'
'x+1/2,-y+1/2,z+1/2'
loop_
_atom_site_label
_atom_site_fract_x
_atom_site_fract_y
_atom_site_fract_z
Sc1 0.000 0.000 0.000
Re1 0.000 0.500 0.247
Os1 0.000 0.000 0.506
Os2 0.000 0.500 0.750
# Calculated formation energy ... 0.00 eV/atom
# Total magnetic moment ... 0.0 Bohr magnetons per cell


# TlCuW2 | Alexandria | SCAN | single point on PBEsol structure
data_TlCuW2
_chemical_formula_sum 'Tl4 Cu4 W8'
_space_group_name_H-M_alt 'F m -3 m'
_space_group_IT_number 225
_space_group_name_Hall '-F 4 2 3'
_cell_length_a 6.332
_cell_length_b 6.332
_cell_length_c 6.332
_cell_angle_alpha 90.00
_cell_angle_beta 90.00
_cell_angle_gamma 90.00
loop_
_atom_site_label
_atom_site_fract_x
_atom_site_fract_y
_atom_site_fract_z
Tl1 0.000 0.000 0.000
Cu1 0.000 0.000 0.500
W1 0.250 0.250 0.250
# Calculated formation energy ... 1.21 eV/atom
# Total magnetic moment ... 0.0 Bohr magnetons per cell


# Mg2CoIr | Alexandria | SCAN | single point on PBEsol structure
data_Mg2CoIr
_chemical_formula_sum 'Mg8 Co4 Ir4'
_space_group_name_H-M_alt 'F -4 3 m'
_space_group_IT_number 216
_space_group_name_Hall 'F -4 2 3'
_cell_length_a 6.127
_cell_length_b 6.127
_cell_length_c 6.127
_cell_angle_alpha 90.00
_cell_angle_beta 90.00
_cell_angle_gamma 90.00
loop_
_atom_site_label
_atom_site_fract_x
_atom_site_fract_y
_atom_site_fract_z
Mg1 0.000 0.000 0.000
Mg2 0.250 0.250 0.250
Co1 0.250 0.250 0.750
Ir1 0.000 0.000 0.500
# Calculated formation energy ... -0.21 eV/atom
# Excess energy over the best structure of this formula in the dataset ... 3 kJ/mol of formula units
# Total magnetic moment ... 8.8 Bohr magnetons per cell


# K2RhCl | Alexandria | SCAN | single point on PBEsol structure
data_K2RhCl
_chemical_formula_sum 'K4 Rh2 Cl2'
_space_group_name_H-M_alt 'I 4/m m m'
_space_group_IT_number 139
_space_group_name_Hall '-I 4 2'
_cell_length_a 4.661
_cell_length_b 4.661
_cell_length_c 8.827
_cell_angle_alpha 90.00
_cell_angle_beta 90.00
_cell_angle_gamma 90.00
loop_
_atom_site_label
_atom_site_fract_x
_atom_site_fract_y
_atom_site_fract_z
K1 0.000 0.500 0.250
Rh1 0.000 0.000 0.000
Cl1 0.000 0.000 0.500
# Raw formation energy ... -0.131 eV/atom
# Excess energy over the best structure of this formula in the dataset ... 75 kJ/mol of formula units
# Total magnetic moment ... 3.8 Bohr magnetons per cell